DFT (PBE) results for crystalline LiBS2O8 at its relaxed geometry.

Output
The calculation puts the magnetic moment at 0.000 μB per formula unit. The value obtained for the formation energy without anion corrections is -1653.5 meV/atom.

Cell: 9.565 7.800 8.573 Å, 87.59 90.00 90.00°
Sites, in units of the cell vectors:
Li (0.876, 0.236, 0.465)
Li (0.124, 0.236, 0.965)
Li (0.334, 0.723, 0.131)
Li (0.666, 0.723, 0.631)
B (0.605, 0.219, 0.982)
B (0.395, 0.219, 0.482)
B (0.145, 0.733, 0.604)
B (0.855, 0.733, 0.104)
S (0.625, 0.573, 0.987)
S (0.375, 0.573, 0.487)
S (0.611, 0.122, 0.678)
S (0.389, 0.122, 0.178)
S (0.939, 0.645, 0.404)
S (0.061, 0.645, 0.904)
S (0.160, 0.083, 0.620)
S (0.840, 0.083, 0.120)
O (0.676, 0.577, 0.828)
O (0.324, 0.577, 0.328)
O (0.513, 0.688, 0.022)
O (0.487, 0.688, 0.522)
O (0.707, 0.236, 0.594)
O (0.293, 0.236, 0.094)
O (0.661, 0.953, 0.722)
O (0.339, 0.953, 0.222)
O (0.962, 0.465, 0.438)
O (0.038, 0.465, 0.938)
O (0.811, 0.717, 0.461)
O (0.189, 0.717, 0.961)
O (0.017, 0.088, 0.570)
O (0.983, 0.088, 0.070)
O (0.195, 0.159, 0.765)
O (0.805, 0.159, 0.265)
O (0.577, 0.391, 0.041)
O (0.423, 0.391, 0.541)
O (0.748, 0.595, 0.102)
O (0.252, 0.595, 0.602)
O (0.553, 0.215, 0.820)
O (0.447, 0.215, 0.320)
O (0.476, 0.096, 0.583)
O (0.524, 0.096, 0.083)
O (0.044, 0.684, 0.727)
O (0.956, 0.684, 0.227)
O (0.067, 0.750, 0.456)
O (0.933, 0.750, 0.956)
O (0.754, 0.171, 0.985)
O (0.246, 0.171, 0.485)
O (0.217, 0.897, 0.628)
O (0.783, 0.897, 0.128)